1.
Density functional theory data (PBEsol) for SbPIN2 after structural relaxation.

Unit cell a=3.900 b=3.900 c=5.418 alpha=90.00 beta=90.00 gamma=90.00
Each line ends with the local moment (μB).
Positions (direct):
Sb  0.000  0.000  0.500  0.01
I  0.500  0.500  0.500  0.00
P  0.000  0.000  0.000  -0.02
N  0.000  0.500  0.000  0.24
N  0.500  0.000  0.000  0.24

ΔE_f (raw), eV/atom: 1.26
DOS(E_F), states/eV/cell: 2.51
E above lowest polymorph, eV per formula unit: 0.00

***

2.
Density functional theory data (PBEsol) for SbPIN2 after structural relaxation.

Unit cell a=3.977 b=3.977 c=5.071 alpha=90.00 beta=90.00 gamma=90.00
Positions (direct):
I  0.000  0.000  0.500
N  0.000  0.500  0.000
N  0.500  0.000  0.000
Sb  0.500  0.500  0.500
P  0.000  0.000  0.000

ΔE_f (raw), eV/atom: 1.43
DOS(E_F), states/eV/cell: 2.54
E above lowest polymorph, eV per formula unit: 0.84

***

3.
Density functional theory data (PBEsol) for PSeIN2 after structural relaxation.

Unit cell a=3.664 b=3.664 c=5.737 alpha=90.00 beta=90.00 gamma=90.00
Each line ends with the local moment (μB).
Positions (direct):
N  0.000  0.500  0.000  0.10
N  0.500  0.000  0.000  0.10
Se  0.000  0.000  0.500  0.00
P  0.000  0.000  0.000  -0.01
I  0.500  0.500  0.500  0.00

ΔE_f (raw), eV/atom: 1.09
DOS(E_F), states/eV/cell: 2.29

***

4.
Density functional theory data (PBEsol) for TaPI2N after structural relaxation.

Unit cell a=3.316 b=5.454 c=5.454 alpha=90.00 beta=90.00 gamma=90.00
Each line ends with the local moment (μB).
Positions (direct):
N  0.500  0.000  0.000  -0.01
I  0.000  0.500  0.000  -0.03
I  0.000  0.000  0.500  -0.03
Ta  0.500  0.500  0.500  0.90
P  0.000  0.000  0.000  -0.01

ΔE_f (raw), eV/atom: 0.98
DOS(E_F), states/eV/cell: 3.24

***

5.
Density functional theory data (PBEsol) for Te2PIN after structural relaxation.

Unit cell a=5.471 b=5.204 c=5.204 alpha=90.00 beta=90.00 gamma=90.00
Each line ends with the local moment (μB).
Positions (direct):
N  0.500  0.500  0.500  1.81
Te  0.000  0.500  0.000  -0.02
Te  0.000  0.000  0.500  -0.02
I  0.500  0.000  0.000  0.04
P  0.000  0.000  0.000  -0.01

ΔE_f (raw), eV/atom: 1.42
DOS(E_F), states/eV/cell: 4.90

***

6.
Density functional theory data (PBEsol) for PWIN2 after structural relaxation.

Unit cell a=3.616 b=3.616 c=6.409 alpha=90.00 beta=90.00 gamma=90.00
Each line ends with the local moment (μB).
Positions (direct):
P  0.000  0.000  0.000  0.01
I  0.000  0.000  0.500  0.02
W  0.500  0.500  0.500  1.98
N  0.500  0.000  0.000  -0.01
N  0.000  0.500  0.000  -0.01

ΔE_f (raw), eV/atom: 1.95
DOS(E_F), states/eV/cell: 4.00
E above lowest polymorph, eV per formula unit: 5.51

***

7.
Density functional theory data (PBEsol) for PWIN2 after structural relaxation.

Unit cell a=3.911 b=3.911 c=5.698 alpha=90.00 beta=90.00 gamma=90.00
Each line ends with the local moment (μB).
Positions (direct):
N  0.000  0.500  0.000  0.15
N  0.500  0.000  0.000  0.15
P  0.500  0.500  0.500  0.34
W  0.000  0.000  0.000  -0.06
I  0.000  0.000  0.500  0.01

ΔE_f (raw), eV/atom: 0.85
DOS(E_F), states/eV/cell: 3.71
E above lowest polymorph, eV per formula unit: 0.00

***

8.
Density functional theory data (PBEsol) for YPI2N after structural relaxation.

Unit cell a=3.472 b=5.742 c=5.742 alpha=90.00 beta=90.00 gamma=90.00
Positions (direct):
I  0.000  0.500  0.000
I  0.000  0.000  0.500
P  0.000  0.000  0.000
Y  0.500  0.500  0.500
N  0.500  0.000  0.000

ΔE_f (raw), eV/atom: 0.03
DOS(E_F), states/eV/cell: 2.15

***

Total moment per entry: 0.662; 0.003; 0.256; 1.294; 2.692; 2.637; 1.100; 0.000 μB per formula unit